No. 1
A relaxed structure of ErCu4Pd. Source: the Alexandria database, functional PBEsol.

## Properties
**Energy**: -30.49 eV/cell
**Energy of formation**: -0.3781 eV per atom
**M_tot**: 0.000 μB/cell
**Space-group type**: No. 216
**Volume**: 13.78 Å³ per atom

a = 4.890 Å, b = 4.890 Å, c = 4.890 Å
α = 60.00°, β = 60.00°, γ = 60.00°
Element x y z (fractional)
Pd  0.750  0.750  0.750
Er  0.000  0.000  0.000
Cu  0.376  0.873  0.376
Cu  0.376  0.376  0.376
Cu  0.376  0.376  0.873
Cu  0.873  0.376  0.376

***

No. 2
A relaxed structure of Mg2Zr3. Source: the Alexandria database, functional PBEsol.

## Properties
**Energy**: -30.34 eV/cell
**Energy of formation**: 0.0720 eV per atom
**M_tot**: 0.001 μB/cell
**Space-group type**: No. 166
**Volume**: 22.33 Å³ per atom

a = 3.121 Å, b = 3.121 Å, c = 13.356 Å
α = 83.29°, β = 83.29°, γ = 60.00°
Element x y z (fractional)
Zr  0.000  0.000  0.000
Zr  0.802  0.802  0.594
Zr  0.198  0.198  0.406
Mg  0.599  0.599  0.202
Mg  0.401  0.401  0.798

***

No. 3
A relaxed structure of Cu3PC. Source: the Alexandria database, functional PBEsol.

## Properties
**Energy**: -25.20 eV/cell
**Energy of formation**: 0.6474 eV per atom
**M_tot**: 0.000 μB/cell
**Space-group type**: No. 221
**Volume**: 11.61 Å³ per atom

a = 3.872 Å, b = 3.872 Å, c = 3.872 Å
α = 90.00°, β = 90.00°, γ = 90.00°
Element x y z (fractional)
P  0.500  0.500  0.500
C  0.000  0.000  0.000
Cu  0.000  0.500  0.000
Cu  0.000  0.000  0.500
Cu  0.500  0.000  0.000

***

No. 4
A relaxed structure of ScFe2. Source: the Alexandria database, functional PBEsol.

## Properties
**Energy**: -24.45 eV/cell
**Energy of formation**: 0.0287 eV per atom
**M_tot**: 3.399 μB/cell
**Space-group type**: No. 139
**Volume**: 13.70 Å³ per atom

a = 2.966 Å, b = 2.966 Å, c = 5.122 Å
α = 106.83°, β = 106.83°, γ = 90.00°
Element x y z (fractional)
Sc  0.000  0.000  0.000
Fe  0.312  0.312  0.623
Fe  0.688  0.688  0.377

***

Number 1: density of states at the Fermi level 0.491 states/eV/atom. Number 2: density of states at the Fermi level 0.866 states/eV/atom. Number 3: density of states at the Fermi level 0.803 states/eV/atom. Number 4: density of states at the Fermi level 1.201 states/eV/atom.